DFT (PBE) results for an optimized crystal structure of Sm5Y2Er5.

Formation enthalpy at 0 K, meV/atom: 20
Space group: C2/m
E, Ry/atom: -0.3620

a b c (Å): 7.966 7.966 11.303
angles (deg): 115.06 115.06 36.90
Fractional positions:
Sm (0.000, 0.000, 0.000)
Sm (0.085, 0.085, 0.751)
Sm (0.166, 0.166, 0.500)
Sm (0.834, 0.834, 0.500)
Sm (0.915, 0.915, 0.249)
Y (0.417, 0.417, 0.751)
Y (0.583, 0.583, 0.249)
Er (0.250, 0.250, 0.248)
Er (0.332, 0.332, 0.999)
Er (0.500, 0.500, 0.500)
Er (0.668, 0.668, 0.001)
Er (0.750, 0.750, 0.752)